A geometry-optimized AcAuS6 structure, computed with PBE-GGA.

Output
M_tot = 0.00 Bohr magnetons per cell
Uncorrected formation energy = -612 meV/atom

Geometry as CIF:
```
data_AcAuS6
_symmetry_space_group_name_H-M 'P -1'
_symmetry_Int_Tables_number 2
_symmetry_space_group_name_Hall '-P 1'
_cell_length_a 5.469
_cell_length_b 5.700
_cell_length_c 7.201
_cell_angle_alpha 93.74
_cell_angle_beta 92.04
_cell_angle_gamma 117.76
loop_
_atom_site_label
_atom_site_type_symbol
_atom_site_fract_x
_atom_site_fract_y
_atom_site_fract_z
Ac1 Ac 0.000 0.000 0.000
Au1 Au 0.000 0.500 0.500
S1 S 0.120 0.938 0.421
S2 S 0.320 0.488 0.284
S3 S 0.375 0.736 0.072
```